Entry 1:
# YScAg2I

YScAg2I after structural relaxation (PBE, the Alexandria database).

Output
size of the total moment	1.56	μB/f.u.
crystal system	tetragonal

abc: 5.4816 5.6641 5.4816
angles: 90.00 90.00 90.00
Last column: nearest neighbours and their distance in Å.
Fractional positions:
I  0.0000  0.5000  0.0000  2 Y 2.83
Y  0.0000  0.0000  0.0000  4 Ag 2.74, 2 I 2.83
Sc  0.5000  0.5000  0.5000  4 I 3.88, 8 Ag 3.94
Ag  0.0000  0.0000  0.5000  2 Y 2.74
Ag  0.5000  0.0000  0.0000  2 Y 2.74



Entry 2:
# AgSe2I6

AgSe2I6 after structural relaxation (PBE, the Alexandria database).

Output
size of the total moment	0.00	μB/f.u.
crystal system	triclinic
E above lowest polymorph	0.402	eV/f.u.

abc: 5.5436 9.0457 9.5183
angles: 113.90 101.87 96.81
Last column: nearest neighbours and their distance in Å.
Fractional positions:
Ag  0.0000  0.0000  0.0000  4 I 2.78-2.84
Se  0.9653  0.5887  0.2115  2 I 2.59-2.75
Se  0.0347  0.4113  0.7885  2 I 2.59-2.75
I  0.4475  0.6173  0.3144  1 Se 2.59
I  0.5525  0.3827  0.6856  1 Se 2.59
I  0.0118  0.0912  0.7481  1 Se 2.75, 1 Ag 2.84
I  0.8311  0.2627  0.2000  1 Ag 2.78, 1 Se 2.91
I  0.9882  0.9088  0.2519  1 Se 2.75, 1 Ag 2.84
I  0.1689  0.7373  0.8000  1 Ag 2.78, 1 Se 2.91



Entry 3:
# AgSeI

AgSeI after structural relaxation (PBE, the Alexandria database).

Output
size of the total moment	0.00	μB/f.u.
crystal system	triclinic
E above lowest polymorph	0.000	eV/f.u.

abc: 4.5978 5.7113 8.7640
angles: 81.35 74.71 66.30
Last column: nearest neighbours and their distance in Å.
Fractional positions:
Ag  0.4589  0.3552  0.7415  3 Se 2.66-2.91, 1 I 2.90
Ag  0.9603  0.5552  0.5394  3 Se 2.67-2.90, 1 I 2.90
Se  0.0847  0.0971  0.7478  1 Se 2.41, 2 Ag 2.66-2.67
Se  0.3348  0.8143  0.5315  1 Se 2.41, 2 Ag 2.67
I  0.1674  0.6633  0.0166  1 Ag 2.90, 1 I 2.95, 1 Se 3.13
I  0.2530  0.2448  0.2643  1 Ag 2.90, 1 I 2.95, 1 Se 3.11



Entry 4:
# Ag2SeI6

Ag2SeI6 after structural relaxation (PBE, the Alexandria database).

Output
size of the total moment	0.00	μB/f.u.
crystal system	trigonal

abc: 7.6092 8.5129 8.5129
angles: 120.00 90.00 90.00
Last column: nearest neighbours and their distance in Å.
Fractional positions:
Ag  0.8788  0.3333  0.6667  3 I 2.77
Ag  0.1212  0.6667  0.3333  3 I 2.77
Se  0.0000  0.0000  0.0000  6 I 2.86
I  0.7720  0.6919  0.8459  1 Ag 2.77, 1 Se 2.86
I  0.7720  0.1541  0.8459  1 Ag 2.77, 1 Se 2.86
I  0.7720  0.1541  0.3081  1 Ag 2.77, 1 Se 2.86
I  0.2280  0.3081  0.1541  1 Ag 2.77, 1 Se 2.86
I  0.2280  0.8459  0.1541  1 Ag 2.77, 1 Se 2.86
I  0.2280  0.8459  0.6919  1 Ag 2.77, 1 Se 2.86



Entry 5:
# Ag5Se2I2

Ag5Se2I2 after structural relaxation (PBE, the Alexandria database).

Output
size of the total moment	0.00	μB/f.u.
crystal system	monoclinic
E above lowest polymorph	0.000	eV/f.u.

abc: 4.2864 8.6095 7.7186
angles: 99.78 106.09 89.97
Last column: nearest neighbours and their distance in Å.
Fractional positions:
Ag  0.5581  0.7940  0.1162  2 Se 2.62, 1 I 2.86
Ag  0.4419  0.2060  0.8838  2 Se 2.62, 1 I 2.86
Ag  0.8720  0.4046  0.7437  1 Se 2.59, 2 I 2.83
Ag  0.1280  0.5954  0.2563  1 Se 2.59, 2 I 2.83
Ag  0.0000  0.0000  0.0000  2 Se 2.53
Se  0.8495  0.0997  0.6985  4 Ag 2.53-2.62
Se  0.1505  0.9003  0.3015  4 Ag 2.53-2.62
I  0.6250  0.3793  0.2498  3 Ag 2.83-2.86
I  0.3750  0.6207  0.7502  3 Ag 2.83-2.86



Entry 6:
# AgSe2I8

AgSe2I8 after structural relaxation (PBE, the Alexandria database).

Output
size of the total moment	0.00	μB/f.u.
crystal system	monoclinic

abc: 7.8651 8.8034 8.8034
angles: 57.19 90.54 90.54
Last column: nearest neighbours and their distance in Å.
Fractional positions:
Ag  0.0000  0.0000  0.0000  4 I 2.73
Se  0.6091  0.7921  0.7921  2 I 2.56-2.58
Se  0.3909  0.2079  0.2079  2 I 2.56-2.58
I  0.1620  0.3268  0.8472  1 Ag 2.73
I  0.8380  0.1528  0.6732  1 Ag 2.73
I  0.2849  0.8143  0.8143  1 Se 2.58
I  0.7151  0.1857  0.1857  1 Se 2.58
I  0.1620  0.8472  0.3268  1 Ag 2.73
I  0.8380  0.6732  0.1528  1 Ag 2.73
I  0.6677  0.6295  0.6295  1 Se 2.56
I  0.3323  0.3705  0.3705  1 Se 2.56



Entry 7:
# Ag6Se3I

Ag6Se3I after structural relaxation (PBE, the Alexandria database).

Output
size of the total moment	0.00	μB/f.u.
crystal system	orthorhombic

abc: 6.8953 8.6673 8.6673
angles: 104.01 90.00 90.00
Last column: nearest neighbours and their distance in Å.
Fractional positions:
Ag  0.1928  0.6267  0.6684  4 Se 2.64-2.78, 1 Ag 2.94
Ag  0.6928  0.6684  0.6267  4 Se 2.64-2.78, 1 Ag 2.94
Ag  0.2019  0.4835  0.9436  2 Se 2.64-2.66, 1 Ag 2.94
Ag  0.7019  0.9436  0.4835  2 Se 2.64-2.66, 1 Ag 2.94
Ag  0.4440  0.0141  0.9859  2 Se 2.65, 1 I 2.74, 1 Ag 2.82
Ag  0.5110  0.2179  0.7821  3 Se 2.56-2.81, 1 Ag 2.82
Ag  0.0110  0.7821  0.2179  3 Se 2.56-2.81, 1 Ag 2.82
Ag  0.9440  0.9859  0.0141  2 Se 2.65, 1 I 2.74, 1 Ag 2.82
Ag  0.2019  0.0564  0.5165  2 Se 2.64-2.66, 1 Ag 2.94
Ag  0.7019  0.5165  0.0564  2 Se 2.64-2.66, 1 Ag 2.94
Ag  0.1928  0.3316  0.3733  4 Se 2.64-2.78, 1 Ag 2.94
Ag  0.6928  0.3733  0.3316  4 Se 2.64-2.78, 1 Ag 2.94
Se  0.4180  0.8945  0.6746  6 Ag 2.64-2.81
Se  0.9180  0.6746  0.8945  6 Ag 2.64-2.81
Se  0.4618  0.4039  0.5961  5 Ag 2.56-2.75
Se  0.9618  0.5961  0.4039  5 Ag 2.56-2.75
Se  0.9180  0.1055  0.3254  6 Ag 2.64-2.81
Se  0.4180  0.3254  0.1055  6 Ag 2.64-2.81
I  0.9429  0.1867  0.8133  2 Ag 2.74-3.01
I  0.4429  0.8133  0.1867  2 Ag 2.74-3.01



Entry 8:
# Ag2SeI8

Ag2SeI8 after structural relaxation (PBE, the Alexandria database).

Output
size of the total moment	0.00	μB/f.u.
crystal system	monoclinic

abc: 7.5280 9.3841 9.3841
angles: 84.70 110.91 110.91
Last column: nearest neighbours and their distance in Å.
Fractional positions:
Ag  0.3608  0.8781  0.8781  3 I 2.76-2.80, 1 Ag 3.00
Ag  0.6392  0.1219  0.1219  3 I 2.76-2.80, 1 Ag 3.00
Se  0.0000  0.0000  0.0000  6 I 2.84-3.15
I  0.8466  0.9180  0.2433  1 Ag 2.80, 1 Se 2.84
I  0.1534  0.7567  0.0820  1 Ag 2.80, 1 Se 2.84
I  0.5941  0.7742  0.7742  1 Ag 2.76, 1 I 2.88
I  0.4059  0.2258  0.2258  1 Ag 2.76, 1 I 2.88
I  0.8466  0.2433  0.9180  1 Ag 2.80, 1 Se 2.84
I  0.1534  0.0820  0.7567  1 Ag 2.80, 1 Se 2.84
I  0.2292  0.5644  0.5644  2 I 2.88-3.02
I  0.7708  0.4356  0.4356  2 I 2.88-3.02



Entry 9:
# AgSe4I

AgSe4I after structural relaxation (PBE, the Alexandria database).

Output
size of the total moment	0.00	μB/f.u.
crystal system	monoclinic

abc: 4.3341 7.4553 5.7345
angles: 95.72 90.02 106.92
Last column: nearest neighbours and their distance in Å.
Fractional positions:
Ag  0.0000  0.0000  0.0000  2 I 2.87, 4 Se 2.99-3.00
Se  0.3569  0.7132  0.0259  1 Se 2.23
Se  0.6431  0.2868  0.9741  1 Se 2.23
Se  0.2417  0.4837  0.7305  1 Se 2.23
Se  0.7583  0.5163  0.2695  1 Se 2.23
I  0.0000  0.0000  0.5000  2 Ag 2.87



Entry 10:
# AgSeI

AgSeI after structural relaxation (PBE, the Alexandria database).

Output
size of the total moment	0.00	μB/f.u.
crystal system	orthorhombic
E above lowest polymorph	0.184	eV/f.u.

abc: 4.7263 9.4826 10.9262
angles: 90.00 90.00 90.00
Last column: nearest neighbours and their distance in Å.
Fractional positions:
Se  0.3552  0.3981  0.3509  2 Ag 2.61-2.62, 1 I 2.71
Se  0.8552  0.6019  0.6491  2 Ag 2.61-2.62, 1 I 2.71
Se  0.8552  0.8981  0.1491  2 Ag 2.61-2.62, 1 I 2.71
Se  0.3552  0.1019  0.8509  2 Ag 2.61-2.62, 1 I 2.71
Ag  0.7995  0.5451  0.4166  2 Se 2.61-2.62, 1 I 2.88
Ag  0.7995  0.9549  0.9166  2 Se 2.61-2.62, 1 I 2.88
Ag  0.2995  0.0451  0.0834  2 Se 2.61-2.62, 1 I 2.88
Ag  0.2995  0.4549  0.5834  2 Se 2.61-2.62, 1 I 2.88
I  0.6315  0.1614  0.2801  1 Se 2.71, 1 Ag 2.88
I  0.6315  0.3386  0.7801  1 Se 2.71, 1 Ag 2.88
I  0.1315  0.6614  0.2199  1 Se 2.71, 1 Ag 2.88
I  0.1315  0.8386  0.7199  1 Se 2.71, 1 Ag 2.88



Number 1: total energy -3.47 eV/atom. Number 2: total energy -2.10 eV/atom. Number 3: total energy -2.66 eV/atom. Number 4: total energy -2.03 eV/atom. Number 5: total energy -2.79 eV/atom. Number 6: total energy -1.93 eV/atom. Number 7: total energy -2.96 eV/atom. Number 8: total energy -1.99 eV/atom. Number 9: total energy -3.04 eV/atom. Number 10: total energy -2.59 eV/atom.